a.
# Al3TcCl

Crystalline Al3TcCl at its relaxed geometry (PBE-GGA, the Alexandria database).

## Properties
Fermi-level density of states   0.412 states/eV per atom
V   111.9 Å³ per cell

```
Al3TcCl
1.0
-3.132 -1.377 3.393
-0.497 -4.264 -2.189
3.628 -1.773 2.630
Cl Tc Al
1 1 3
Cartesian
-0.001 -3.707 1.917
0.000 0.000 0.000
1.814 -0.886 1.315
-0.248 -2.132 -1.095
-1.566 -0.689 1.696
```

---

b.
# Al3TcCl

Crystalline Al3TcCl at its relaxed geometry (PBE-GGA, the Alexandria database).

## Properties
Fermi-level density of states   0.412 states/eV per atom
V   95.6 Å³ per cell

```
Al3TcCl
1.0
4.573 0.000 0.000
0.000 4.573 0.000
0.000 0.000 4.573
Al Tc Cl
3 1 1
Cartesian
2.286 0.000 0.000
0.000 2.286 0.000
0.000 0.000 2.286
2.286 2.286 2.286
0.000 0.000 0.000
```

---

Most stable structure - a; separation to the second - 0.842 eV/atom.